#w
Here is crystalline TcOsSe2 at its relaxed geometry from Alexandria. Energies are from PBE.

```
data_TcOsSe2
_cell_length_a 3.132
_cell_length_b 3.132
_cell_length_c 6.247
_cell_angle_alpha 90.00
_cell_angle_beta 90.00
_cell_angle_gamma 90.00
_symmetry_space_group_name_H-M 'P 4/m m m'
_symmetry_Int_Tables_number 123
_symmetry_space_group_name_Hall '-P 4 2'
loop_
_atom_site_label
_atom_site_type_symbol
_atom_site_fract_x
_atom_site_fract_y
_atom_site_fract_z
Tc1 Tc 0.000 0.000 0.000
Os1 Os 0.000 0.000 0.500
Se1 Se 0.500 0.500 0.246
```

#x
Here is crystalline TcOsSe2 at its relaxed geometry from Alexandria. Energies are from PBE.

```
data_TcOsSe2
_cell_length_a 3.0379
_cell_length_b 3.0379
_cell_length_c 23.3928
_cell_angle_alpha 90.00
_cell_angle_beta 90.00
_cell_angle_gamma 120.00
_symmetry_space_group_name_H-M 'R -3 m'
_symmetry_Int_Tables_number 166
_symmetry_space_group_name_Hall '-R 3 2"'
loop_
_atom_site_label
_atom_site_type_symbol
_atom_site_fract_x
_atom_site_fract_y
_atom_site_fract_z
Tc1 Tc 0.0000 0.0000 0.0000
Os1 Os 0.0000 0.0000 0.5000
Se1 Se 0.0000 0.0000 0.2513
```

#y
Here is crystalline TcOsSe2 at its relaxed geometry from Alexandria. Energies are from PBE.

```
data_TcOsSe2
_cell_length_a 5.517
_cell_length_b 5.517
_cell_length_c 11.058
_cell_angle_alpha 90.00
_cell_angle_beta 90.00
_cell_angle_gamma 90.00
_symmetry_space_group_name_H-M 'I -4 2 d'
_symmetry_Int_Tables_number 122
_symmetry_space_group_name_Hall 'I -4 2bw'
loop_
_atom_site_label
_atom_site_type_symbol
_atom_site_fract_x
_atom_site_fract_y
_atom_site_fract_z
Tc1 Tc 0.000 0.000 0.000
Os1 Os 0.000 0.000 0.500
Se1 Se 0.248 0.250 0.625
```

#z
Here is crystalline TcOsSe2 at its relaxed geometry from Alexandria. Energies are from PBE.

```
data_TcOsSe2
_cell_length_a 2.970
_cell_length_b 5.392
_cell_length_c 8.315
_cell_angle_alpha 90.00
_cell_angle_beta 90.00
_cell_angle_gamma 90.00
_symmetry_space_group_name_H-M 'I m m m'
_symmetry_Int_Tables_number 71
_symmetry_space_group_name_Hall '-I 2 2'
loop_
_atom_site_label
_atom_site_type_symbol
_atom_site_fract_x
_atom_site_fract_y
_atom_site_fract_z
Tc1 Tc 0.000 0.000 0.000
Os1 Os 0.000 0.000 0.500
Se1 Se 0.000 0.500 0.247
```

Tell me which of them is the least stable. Sure, it is #z.

#w
Here is crystalline TcOsSe2 at its relaxed geometry from Alexandria. Energies are from PBE.

```
data_TcOsSe2
_cell_length_a 6.256
_cell_length_b 6.256
_cell_length_c 6.256
_cell_angle_alpha 90.00
_cell_angle_beta 90.00
_cell_angle_gamma 90.00
_symmetry_space_group_name_H-M 'F m -3 m'
_symmetry_Int_Tables_number 225
_symmetry_space_group_name_Hall '-F 4 2 3'
loop_
_atom_site_label
_atom_site_type_symbol
_atom_site_fract_x
_atom_site_fract_y
_atom_site_fract_z
Tc1 Tc 0.000 0.000 0.000
Os1 Os 0.000 0.000 0.500
Se1 Se 0.250 0.250 0.250
```

#x
Here is crystalline TcOsSe2 at its relaxed geometry from Alexandria. Energies are from PBE.

```
data_TcOsSe2
_cell_length_a 2.882
_cell_length_b 3.956
_cell_length_c 7.088
_cell_angle_alpha 90.00
_cell_angle_beta 92.76
_cell_angle_gamma 90.00
_symmetry_space_group_name_H-M 'P 1 m 1'
_symmetry_Int_Tables_number 6
_symmetry_space_group_name_Hall 'P -2y'
loop_
_atom_site_label
_atom_site_type_symbol
_atom_site_fract_x
_atom_site_fract_y
_atom_site_fract_z
Tc1 Tc 0.000 0.000 0.000
Os1 Os 0.518 0.500 0.145
Se1 Se 0.285 0.500 0.799
Se2 Se 0.744 0.000 0.354
```

Tell me which of them is the least stable. Sure, it is #w.

#w
Here is crystalline TcOsSe2 at its relaxed geometry from Alexandria. Energies are from PBE.

```
data_TcOsSe2
_cell_length_a 3.0239
_cell_length_b 3.0239
_cell_length_c 29.1826
_cell_angle_alpha 90.00
_cell_angle_beta 90.00
_cell_angle_gamma 120.00
_symmetry_space_group_name_H-M 'R 3 m'
_symmetry_Int_Tables_number 160
_symmetry_space_group_name_Hall 'R 3 -2"'
loop_
_atom_site_label
_atom_site_type_symbol
_atom_site_fract_x
_atom_site_fract_y
_atom_site_fract_z
Tc1 Tc 0.0000 0.0000 0.0000
Os1 Os 0.0000 0.0000 0.7437
Se1 Se 0.0000 0.0000 0.2735
Se2 Se 0.0000 0.0000 0.4711
```

#x
Here is crystalline TcOsSe2 at its relaxed geometry from Alexandria. Energies are from PBE.

```
data_TcOsSe2
_cell_length_a 6.131
_cell_length_b 8.453
_cell_length_c 2.620
_cell_angle_alpha 90.00
_cell_angle_beta 90.00
_cell_angle_gamma 90.00
_symmetry_space_group_name_H-M 'C m m m'
_symmetry_Int_Tables_number 65
_symmetry_space_group_name_Hall '-C 2 2'
loop_
_atom_site_label
_atom_site_type_symbol
_atom_site_fract_x
_atom_site_fract_y
_atom_site_fract_z
Tc1 Tc 0.000 0.000 0.000
Os1 Os 0.000 0.500 0.000
Se1 Se 0.250 0.250 0.000
```

Tell me which of them is the least stable. Sure, it is #x.

#w
Here is crystalline TcOsSe at its relaxed geometry from Alexandria. Energies are from PBE.

```
data_TcOsSe
_cell_length_a 2.798
_cell_length_b 4.822
_cell_length_c 14.579
_cell_angle_alpha 90.00
_cell_angle_beta 90.00
_cell_angle_gamma 90.00
_symmetry_space_group_name_H-M 'F m m 2'
_symmetry_Int_Tables_number 42
_symmetry_space_group_name_Hall 'F 2 -2'
loop_
_atom_site_label
_atom_site_type_symbol
_atom_site_fract_x
_atom_site_fract_y
_atom_site_fract_z
Tc1 Tc 0.000 0.000 0.000
Os1 Os 0.000 0.000 0.356
Se1 Se 0.000 0.000 0.670
```

#x
Here is crystalline TcOsSe at its relaxed geometry from Alexandria. Energies are from PBE.

```
data_TcOsSe
_cell_length_a 2.937
_cell_length_b 3.961
_cell_length_c 7.847
_cell_angle_alpha 90.00
_cell_angle_beta 90.00
_cell_angle_gamma 90.00
_symmetry_space_group_name_H-M 'I m m 2'
_symmetry_Int_Tables_number 44
_symmetry_space_group_name_Hall 'I 2 -2'
loop_
_atom_site_label
_atom_site_type_symbol
_atom_site_fract_x
_atom_site_fract_y
_atom_site_fract_z
Tc1 Tc 0.000 0.000 0.000
Os1 Os 0.000 0.000 0.652
Se1 Se 0.000 0.000 0.327
```

#y
Here is crystalline TcOsSe at its relaxed geometry from Alexandria. Energies are from PBE.

```
data_TcOsSe
_cell_length_a 4.1944
_cell_length_b 4.1944
_cell_length_c 2.9764
_cell_angle_alpha 90.00
_cell_angle_beta 90.00
_cell_angle_gamma 120.00
_symmetry_space_group_name_H-M 'P 3 m 1'
_symmetry_Int_Tables_number 156
_symmetry_space_group_name_Hall 'P 3 -2"'
loop_
_atom_site_label
_atom_site_type_symbol
_atom_site_fract_x
_atom_site_fract_y
_atom_site_fract_z
Tc1 Tc 0.0000 0.0000 0.0000
Os1 Os 0.6667 0.3333 0.4893
Se1 Se 0.3333 0.6667 0.7069
```

#z
Here is crystalline TcOsSe at its relaxed geometry from Alexandria. Energies are from PBE.

```
data_TcOsSe
_cell_length_a 2.8999
_cell_length_b 2.8999
_cell_length_c 12.5752
_cell_angle_alpha 90.00
_cell_angle_beta 90.00
_cell_angle_gamma 120.00
_symmetry_space_group_name_H-M 'P -6 m 2'
_symmetry_Int_Tables_number 187
_symmetry_space_group_name_Hall 'P -6 2'
loop_
_atom_site_label
_atom_site_type_symbol
_atom_site_fract_x
_atom_site_fract_y
_atom_site_fract_z
Tc1 Tc 0.0000 0.0000 0.0000
Tc2 Tc 0.0000 0.0000 0.5000
Os1 Os 0.6667 0.3333 0.1633
Se1 Se 0.3333 0.6667 0.3465
```

Tell me which of them is the least stable. Sure, it is #w.

#w
Here is crystalline Tc3OsSe at its relaxed geometry from Alexandria. Energies are from PBE.

```
data_Tc3OsSe
_cell_length_a 4.736
_cell_length_b 4.736
_cell_length_c 4.736
_cell_angle_alpha 90.00
_cell_angle_beta 90.00
_cell_angle_gamma 90.00
_symmetry_space_group_name_H-M 'P m -3 m'
_symmetry_Int_Tables_number 221
_symmetry_space_group_name_Hall '-P 4 2 3'
loop_
_atom_site_label
_atom_site_type_symbol
_atom_site_fract_x
_atom_site_fract_y
_atom_site_fract_z
Tc1 Tc 0.000 0.000 0.500
Os1 Os 0.000 0.000 0.000
Se1 Se 0.500 0.500 0.500
```

#x
Here is crystalline Tc3OsSe at its relaxed geometry from Alexandria. Energies are from PBE.

```
data_Tc3OsSe
_cell_length_a 4.456
_cell_length_b 4.456
_cell_length_c 4.456
_cell_angle_alpha 90.00
_cell_angle_beta 90.00
_cell_angle_gamma 90.00
_symmetry_space_group_name_H-M 'P m -3 m'
_symmetry_Int_Tables_number 221
_symmetry_space_group_name_Hall '-P 4 2 3'
loop_
_atom_site_label
_atom_site_type_symbol
_atom_site_fract_x
_atom_site_fract_y
_atom_site_fract_z
Tc1 Tc 0.000 0.000 0.500
Os1 Os 0.500 0.500 0.500
Se1 Se 0.000 0.000 0.000
```

Tell me which of them is the least stable. Sure, it is #w.

#w
Here is crystalline TcOs3Se at its relaxed geometry from Alexandria. Energies are from PBE.

```
data_TcOs3Se
_cell_length_a 4.495
_cell_length_b 4.495
_cell_length_c 4.495
_cell_angle_alpha 90.00
_cell_angle_beta 90.00
_cell_angle_gamma 90.00
_symmetry_space_group_name_H-M 'P m -3 m'
_symmetry_Int_Tables_number 221
_symmetry_space_group_name_Hall '-P 4 2 3'
loop_
_atom_site_label
_atom_site_type_symbol
_atom_site_fract_x
_atom_site_fract_y
_atom_site_fract_z
Tc1 Tc 0.000 0.000 0.000
Os1 Os 0.000 0.500 0.500
Se1 Se 0.500 0.500 0.500
```

#x
Here is crystalline TcOs3Se at its relaxed geometry from Alexandria. Energies are from PBE.

```
data_TcOs3Se
_cell_length_a 4.683
_cell_length_b 4.683
_cell_length_c 4.683
_cell_angle_alpha 90.00
_cell_angle_beta 90.00
_cell_angle_gamma 90.00
_symmetry_space_group_name_H-M 'P m -3 m'
_symmetry_Int_Tables_number 221
_symmetry_space_group_name_Hall '-P 4 2 3'
loop_
_atom_site_label
_atom_site_type_symbol
_atom_site_fract_x
_atom_site_fract_y
_atom_site_fract_z
Tc1 Tc 0.000 0.000 0.000
Os1 Os 0.000 0.000 0.500
Se1 Se 0.500 0.500 0.500
```

Tell me which of them is the least stable. Sure, it is #x.

#w
Here is crystalline TeOsSe at its relaxed geometry from Alexandria. Energies are from PBE.

```
data_TeOsSe
_cell_length_a 3.112
_cell_length_b 3.112
_cell_length_c 13.426
_cell_angle_alpha 90.00
_cell_angle_beta 90.00
_cell_angle_gamma 90.00
_symmetry_space_group_name_H-M 'I 4 m m'
_symmetry_Int_Tables_number 107
_symmetry_space_group_name_Hall 'I 4 -2'
loop_
_atom_site_label
_atom_site_type_symbol
_atom_site_fract_x
_atom_site_fract_y
_atom_site_fract_z
Te1 Te 0.000 0.000 0.000
Os1 Os 0.000 0.000 0.644
Se1 Se 0.000 0.000 0.249
```

#x
Here is crystalline TeOsSe at its relaxed geometry from Alexandria. Energies are from PBE.

```
data_TeOsSe
_cell_length_a 3.059
_cell_length_b 5.466
_cell_length_c 16.259
_cell_angle_alpha 90.00
_cell_angle_beta 90.00
_cell_angle_gamma 90.00
_symmetry_space_group_name_H-M 'F m m 2'
_symmetry_Int_Tables_number 42
_symmetry_space_group_name_Hall 'F 2 -2'
loop_
_atom_site_label
_atom_site_type_symbol
_atom_site_fract_x
_atom_site_fract_y
_atom_site_fract_z
Te1 Te 0.000 0.000 0.000
Os1 Os 0.000 0.000 0.355
Se1 Se 0.000 0.000 0.737
```

Tell me which of them is the least stable. Sure, it is #x.

#w
Here is crystalline TeOsSe at its relaxed geometry from Alexandria. Energies are from PBE.

```
data_TeOsSe
_cell_length_a 3.7681
_cell_length_b 3.7681
_cell_length_c 5.7684
_cell_angle_alpha 90.00
_cell_angle_beta 90.00
_cell_angle_gamma 120.00
_symmetry_space_group_name_H-M 'P 3 m 1'
_symmetry_Int_Tables_number 156
_symmetry_space_group_name_Hall 'P 3 -2"'
loop_
_atom_site_label
_atom_site_type_symbol
_atom_site_fract_x
_atom_site_fract_y
_atom_site_fract_z
Te1 Te 0.0000 0.0000 0.0000
Os1 Os 0.3333 0.6667 0.2818
Se1 Se 0.6667 0.3333 0.4861
```

#x
Here is crystalline TeOsSe at its relaxed geometry from Alexandria. Energies are from PBE.

```
data_TeOsSe
_cell_length_a 6.312
_cell_length_b 6.312
_cell_length_c 6.312
_cell_angle_alpha 90.00
_cell_angle_beta 90.00
_cell_angle_gamma 90.00
_symmetry_space_group_name_H-M 'F -4 3 m'
_symmetry_Int_Tables_number 216
_symmetry_space_group_name_Hall 'F -4 2 3'
loop_
_atom_site_label
_atom_site_type_symbol
_atom_site_fract_x
_atom_site_fract_y
_atom_site_fract_z
Te1 Te 0.000 0.000 0.000
Os1 Os 0.250 0.250 0.750
Se1 Se 0.000 0.000 0.500
```

Tell me which of them is the least stable. Sure, it is #x.